Version i
## Ho3InHg (PBE)

Data for a relaxed structure of Ho3InHg.

Computed properties:
* space-group type: Cmcm (63)

Lattice parameters (Å, degrees): 10.742 10.742 5.114 90.00 90.00 152.45
Atoms (fractional coordinates):
Ho: 0.059 0.941 0.750
Ho: 0.250 0.750 0.750
Ho: 0.440 0.560 0.750
Ho: 0.560 0.440 0.250
Ho: 0.750 0.250 0.250
Ho: 0.941 0.059 0.250
In: 0.156 0.844 0.250
In: 0.844 0.156 0.750
Hg: 0.346 0.654 0.250
Hg: 0.654 0.346 0.750



Version ii
## Ho3InHg (PBE)

Data for a relaxed structure of Ho3InHg.

Computed properties:
* space-group type: Cmcm (63)

Lattice parameters (Å, degrees): 8.013 8.013 5.438 90.00 90.00 120.00
Atoms (fractional coordinates):
Ho: 0.194 0.388 0.750
Ho: 0.194 0.806 0.750
Ho: 0.388 0.194 0.250
Ho: 0.612 0.806 0.750
Ho: 0.806 0.194 0.250
Ho: 0.806 0.612 0.250
In: 0.334 0.666 0.250
In: 0.666 0.334 0.750
Hg: 0.000 0.000 0.000
Hg: 0.000 0.000 0.500



Q: Which of them is the most stable? A: version i.



Version i
## Ho8InHg2 (PBE)

Data for a relaxed structure of Ho8InHg2.

Computed properties:
* space-group type: Immm (71)

Lattice parameters (Å, degrees): 8.873 8.873 8.873 147.20 123.64 66.76
Atoms (fractional coordinates):
Ho: 0.120 0.338 0.781
Ho: 0.138 0.138 0.000
Ho: 0.309 0.000 0.309
Ho: 0.443 0.662 0.781
Ho: 0.557 0.338 0.219
Ho: 0.691 0.000 0.691
Ho: 0.862 0.862 0.000
Ho: 0.880 0.662 0.219
In: 0.000 0.500 0.500
Hg: 0.302 0.802 0.500
Hg: 0.698 0.198 0.500



Version ii
## Ho8InHg2 (PBE)

Data for a relaxed structure of Ho8InHg2.

Computed properties:
* space-group type: C2/m (12)

Lattice parameters (Å, degrees): 8.466 8.466 5.430 100.52 100.52 117.48
Atoms (fractional coordinates):
Ho: 0.093 0.325 0.607
Ho: 0.223 0.777 0.000
Ho: 0.325 0.093 0.607
Ho: 0.396 0.396 0.198
Ho: 0.604 0.604 0.802
Ho: 0.675 0.907 0.393
Ho: 0.777 0.223 0.000
Ho: 0.907 0.675 0.393
In: 0.000 0.000 0.000
Hg: 0.305 0.695 0.500
Hg: 0.695 0.305 0.500



Q: Which of them is the most stable? A: version i.



Version i
## Ho2InHg4 (PBE)

Data for a relaxed structure of Ho2InHg4.

Computed properties:
* space-group type: R-3m (166)

Lattice parameters (Å, degrees): 8.600 8.600 8.600 34.43 34.43 34.43
Atoms (fractional coordinates):
Ho: 0.243 0.243 0.243
Ho: 0.757 0.757 0.757
In: 0.500 0.500 0.500
Hg: 0.110 0.110 0.110
Hg: 0.368 0.368 0.368
Hg: 0.632 0.632 0.632
Hg: 0.890 0.890 0.890



Version ii
## Ho2InHg4 (PBE)

Data for a relaxed structure of Ho2InHg4.

Computed properties:
* space-group type: I4/mmm (139)

Lattice parameters (Å, degrees): 8.530 8.530 8.530 142.73 142.73 53.73
Atoms (fractional coordinates):
Ho: 0.108 0.108 0.000
Ho: 0.892 0.892 0.000
In: 0.500 0.500 0.000
Hg: 0.000 0.500 0.500
Hg: 0.304 0.304 0.000
Hg: 0.500 0.000 0.500
Hg: 0.696 0.696 0.000



Q: Which of them is the most stable? A: version i.